A plane-wave DFT calculation with PBE was carried out for Pm4Ho19Tm6 after structural relaxation.

It has space group I23 (No. 197), with a = 12.419 Å, b = 12.419 Å, c = 12.419 Å, α = 90.00°, β = 90.00° and γ = 90.00°. The inequivalent atoms are Pm at (0.179, 0.179, 0.179), Ho at (0.000, 0.000, 0.000), Ho at (0.000, 0.000, 0.264), Ho at (0.062, 0.276, 0.734) and Tm at (0.000, 0.127, 0.500).

Its formation energy is 0.40 eV/atom. As for the magnetization: 0.012 μB/f.u.